The following is a GGA-PBE calculation of TmPuTcPd after structural relaxation, from Alexandria via LeMat-Bulk.

Space group = No. 216
Size of the total moment = 4.3 μB per cell
Raw total energy = -8.87 eV/atom
V = 80 Å³ per cell

```
TmPuTcPd
1.0
0.000 3.421 3.421
3.421 0.000 3.421
3.421 3.421 0.000
Tm Pu Tc Pd
1 1 1 1
Direct
0.000 0.000 0.000 Tm
0.500 0.500 0.500 Pu
0.750 0.750 0.750 Tc
0.250 0.250 0.250 Pd
```



The following is a GGA-PBE calculation of Sr2GaGe2Au4 after structural relaxation, from Alexandria via LeMat-Bulk.

Space group = No. 139
Size of the total moment = 0.0 μB per cell
Raw total energy = -3.65 eV/atom
V = 210 Å³ per cell

```
Sr2GaGe2Au4
1.0
-3.361 3.361 4.654
3.361 -3.361 4.654
3.361 3.361 -4.654
Sr Ga Ge Au
2 1 2 4
Direct
0.250 0.750 0.500 Sr
0.750 0.250 0.500 Sr
0.000 0.000 0.000 Ga
0.325 0.325 0.000 Ge
0.675 0.675 0.000 Ge
0.269 0.269 0.538 Au
0.269 0.731 0.000 Au
0.731 0.269 0.000 Au
0.731 0.731 0.462 Au
```



The following is a GGA-PBE calculation of KPt2Se after structural relaxation, from Alexandria via LeMat-Bulk.

Space group = No. 12
Size of the total moment = 0.0 μB per cell
Raw total energy = -4.03 eV/atom
V = 77 Å³ per cell

```
KPt2Se
1.0
2.907 -5.309 0.000
2.907 5.309 0.000
-1.310 0.000 2.480
K Pt Se
1 2 1
Direct
0.000 0.000 0.000 K
0.000 0.500 0.000 Pt
0.500 0.000 0.000 Pt
0.500 0.500 0.000 Se
```



The following is a GGA-PBE calculation of PmTi2Ga4 after structural relaxation, from Alexandria via LeMat-Bulk.

Space group = No. 71
Size of the total moment = 0.0 μB per cell
Raw total energy = -5.10 eV/atom
V = 133 Å³ per cell

```
PmTi2Ga4
1.0
-1.917 1.993 8.709
1.917 -1.993 8.709
1.917 1.993 -8.709
Pm Ti Ga
1 2 4
Direct
0.000 0.000 0.000 Pm
0.311 0.811 0.500 Ti
0.689 0.189 0.500 Ti
0.161 0.661 0.500 Ga
0.426 0.426 0.000 Ga
0.574 0.574 0.000 Ga
0.839 0.339 0.500 Ga
```



The following is a GGA-PBE calculation of HoTiMn after structural relaxation, from Alexandria via LeMat-Bulk.

Space group = No. 11
Size of the total moment = 4.1 μB per cell
Raw total energy = -7.12 eV/atom
V = 354 Å³ per cell

```
HoTiMn
1.0
7.282 0.000 0.000
0.000 3.705 0.000
-0.873 0.000 13.113
Ho Ti Mn
6 6 6
Direct
0.005 0.250 0.383 Ho
0.151 0.250 0.077 Ho
0.478 0.750 0.715 Ho
0.522 0.250 0.285 Ho
0.849 0.750 0.923 Ho
0.995 0.750 0.617 Ho
0.150 0.250 0.811 Ti
0.358 0.750 0.461 Ti
0.496 0.750 0.081 Ti
0.504 0.250 0.919 Ti
0.642 0.250 0.539 Ti
0.850 0.750 0.189 Ti
0.207 0.750 0.252 Mn
0.290 0.250 0.577 Mn
0.290 0.750 0.911 Mn
0.710 0.250 0.089 Mn
0.710 0.750 0.423 Mn
0.793 0.250 0.748 Mn
```



The following is a GGA-PBE calculation of ZnInH14O7F5 after structural relaxation, from Alexandria via LeMat-Bulk.

Space group = No. 2
Size of the total moment = 0.0 μB per cell
Raw total energy = -4.81 eV/atom
V = 526 Å³ per cell

```
ZnInH14O7F5
1.0
6.635 0.000 0.000
-1.252 9.036 0.000
-1.060 -2.272 8.781
Zn In H O F
2 2 28 14 10
Direct
0.000 0.000 0.000 Zn
0.000 0.500 0.500 Zn
0.500 0.000 0.500 In
0.500 0.500 0.000 In
0.030 0.483 0.798 H
0.047 0.722 0.829 H
0.058 0.812 0.538 H
0.110 0.228 0.852 H
0.122 0.067 0.737 H
0.181 0.248 0.475 H
0.185 0.860 0.261 H
0.198 0.484 0.249 H
0.253 0.802 0.942 H
0.340 0.139 0.222 H
0.389 0.164 0.061 H
0.391 0.805 0.205 H
0.398 0.532 0.649 H
0.402 0.661 0.560 H
0.598 0.339 0.440 H
0.602 0.468 0.351 H
0.609 0.195 0.795 H
0.611 0.836 0.939 H
0.660 0.861 0.778 H
0.747 0.198 0.058 H
0.802 0.516 0.751 H
0.815 0.140 0.739 H
0.819 0.752 0.525 H
0.878 0.933 0.263 H
0.890 0.772 0.148 H
0.942 0.188 0.462 H
0.953 0.278 0.171 H
0.970 0.517 0.202 H
0.042 0.118 0.815 O
0.051 0.278 0.505 O
0.051 0.461 0.263 O
0.130 0.824 0.884 O
0.301 0.100 0.111 O
0.316 0.568 0.570 O
0.325 0.837 0.298 O
0.675 0.163 0.702 O
0.684 0.432 0.430 O
0.699 0.900 0.889 O
0.870 0.176 0.116 O
0.949 0.539 0.737 O
0.949 0.722 0.495 O
0.958 0.882 0.185 O
0.189 0.411 0.907 F
0.233 0.976 0.600 F
0.401 0.183 0.417 F
0.436 0.500 0.219 F
0.454 0.734 0.034 F
0.546 0.266 0.966 F
0.564 0.500 0.781 F
0.599 0.817 0.583 F
0.767 0.024 0.400 F
0.811 0.589 0.093 F
```



The following is a GGA-PBE calculation of Tl3HgSeI after structural relaxation, from Alexandria via LeMat-Bulk.

Space group = No. 11
Size of the total moment = 0.0 μB per cell
Raw total energy = -2.43 eV/atom
V = 434 Å³ per cell

```
Tl3HgSeI
1.0
9.311 0.000 0.000
0.000 4.837 0.000
-3.399 0.000 9.637
Tl Hg Se I
6 2 2 2
Direct
0.008 0.250 0.168 Tl
0.176 0.750 0.428 Tl
0.393 0.250 0.059 Tl
0.607 0.750 0.941 Tl
0.824 0.250 0.572 Tl
0.992 0.750 0.832 Tl
0.429 0.250 0.390 Hg
0.571 0.750 0.610 Hg
0.211 0.750 0.112 Se
0.789 0.250 0.888 Se
0.220 0.250 0.691 I
0.780 0.750 0.309 I
```